No. 1
{"formula": "LaRe2", "functional": "PBE", "state": "relaxed", "lattice_angstrom": [[-3.495, 3.495, 2.680], [3.495, -3.495, 2.680], [3.495, 3.495, -2.680]], "species": ["Re", "Re", "Re", "Re", "La", "La"], "frac_coords": [[0.384, 0.116, 0.500], [0.884, 0.384, 0.269], [0.116, 0.616, 0.731], [0.616, 0.884, 0.500], [0.250, 0.250, 0.000], [0.750, 0.750, 0.000]], "dos_at_fermi_per_ev_atom": 1.504, "ef_ev_per_atom": 1.606, "density_g_cm3": 13.0}

***

No. 2
{"formula": "LaRe3", "functional": "PBE", "state": "relaxed", "lattice_angstrom": [[3.101, 0.000, 0.000], [0.000, 3.101, 0.000], [0.000, 0.000, 7.810]], "species": ["Re", "Re", "Re", "La"], "frac_coords": [[0.000, 0.000, 0.500], [0.500, 0.500, 0.693], [0.500, 0.500, 0.307], [0.000, 0.000, 0.000]], "dos_at_fermi_per_ev_atom": 1.473, "relative_energy_ev_per_atom": 0.0241, "ef_ev_per_atom": 0.401, "density_g_cm3": 15.4}

***

No. 3
{"formula": "La5Re", "functional": "PBE", "state": "relaxed", "lattice_angstrom": [[-4.117, 5.838, 2.530], [0.198, -6.067, -4.538], [-2.053, -3.351, 4.390]], "species": ["La", "La", "La", "La", "La", "Re"], "frac_coords": [[0.131, 0.869, 0.000], [0.000, 0.000, 0.500], [0.641, 0.359, 0.500], [0.869, 0.131, 0.000], [0.359, 0.641, 0.500], [0.500, 0.500, 0.000]], "dos_at_fermi_per_ev_atom": 1.341, "relative_energy_ev_per_atom": 0.1168, "ef_ev_per_atom": 0.250, "density_g_cm3": 7.8}

***

No. 4
{"formula": "La3Re", "functional": "PBE", "state": "relaxed", "lattice_angstrom": [[-2.202, -5.391, -3.780], [1.785, -6.463, 1.802], [-8.609, -0.701, 6.016]], "species": ["La", "La", "La", "La", "La", "La", "La", "La", "La", "La", "La", "La", "Re", "Re", "Re", "Re"], "frac_coords": [[0.850, 0.299, 0.750], [0.000, 0.500, 0.500], [0.701, 0.150, 0.250], [0.000, 0.500, 0.000], [0.500, 0.000, 0.000], [0.500, 0.000, 0.500], [0.500, 0.500, 0.000], [0.150, 0.150, 0.250], [0.850, 0.850, 0.750], [0.150, 0.701, 0.250], [0.500, 0.500, 0.500], [0.299, 0.850, 0.750], [0.333, 0.333, 0.750], [0.000, 0.000, 0.000], [0.000, 0.000, 0.500], [0.667, 0.667, 0.250]], "dos_at_fermi_per_ev_atom": 0.994, "ef_ev_per_atom": 0.402, "density_g_cm3": 9.1}

***

No. 5
{"formula": "La4Re", "functional": "PBE", "state": "relaxed", "lattice_angstrom": [[-4.684, 4.684, 1.828], [4.684, -4.684, 1.828], [4.684, 4.684, -1.828]], "species": ["Re", "La", "La", "La", "La"], "frac_coords": [[0.000, 0.000, 0.000], [0.428, 0.752, 0.180], [0.572, 0.248, 0.820], [0.752, 0.572, 0.324], [0.248, 0.428, 0.676]], "dos_at_fermi_per_ev_atom": 1.095, "relative_energy_ev_per_atom": 0.0000, "ef_ev_per_atom": 0.126, "density_g_cm3": 7.7}

***

No. 6
{"formula": "LaRe8", "functional": "PBE", "state": "relaxed", "lattice_angstrom": [[4.575, -1.693, 4.165], [-6.315, -0.442, -1.034], [1.731, -4.106, -4.614]], "species": ["Re", "Re", "Re", "Re", "Re", "Re", "Re", "Re", "La"], "frac_coords": [[0.692, 0.308, 0.000], [0.308, 0.308, 0.616], [0.000, 0.353, 0.353], [0.000, 0.647, 0.647], [0.692, 0.692, 0.384], [0.647, 0.000, 0.647], [0.308, 0.692, 0.000], [0.353, 0.000, 0.353], [0.000, 0.000, 0.000]], "dos_at_fermi_per_ev_atom": 0.636, "ef_ev_per_atom": 0.210, "density_g_cm3": 17.6}

***

No. 7
{"formula": "La3Re", "functional": "PBE", "state": "relaxed", "lattice_angstrom": [[-2.002, 4.244, -1.187], [-3.726, -0.594, 4.161], [5.015, 3.771, 5.028]], "species": ["Re", "Re", "La", "La", "La", "La", "La", "La"], "frac_coords": [[0.333, 0.000, 0.000], [0.667, 0.500, 0.500], [0.653, 0.500, 0.000], [0.209, 0.500, 0.725], [0.791, 0.000, 0.225], [0.209, 0.500, 0.275], [0.347, 0.000, 0.500], [0.791, 0.000, 0.775]], "dos_at_fermi_per_ev_atom": 1.024, "ef_ev_per_atom": 0.311, "density_g_cm3": 9.2}

***

No. 8
{"formula": "LaRe2", "functional": "PBE", "state": "relaxed", "lattice_angstrom": [[1.522, 5.872, 0.031], [-1.522, 5.872, 0.031], [0.000, 1.673, 6.962]], "species": ["Re", "Re", "Re", "Re", "La", "La"], "frac_coords": [[0.732, 0.732, 0.859], [0.321, 0.321, 0.562], [0.679, 0.679, 0.438], [0.268, 0.268, 0.141], [0.995, 0.995, 0.230], [0.005, 0.005, 0.770]], "dos_at_fermi_per_ev_atom": 0.736, "ef_ev_per_atom": 0.336, "density_g_cm3": 13.7}

***

No. 9
{"formula": "La3Re", "functional": "PBE", "state": "relaxed", "lattice_angstrom": [[6.230, 4.672, -0.228], [-7.153, 3.062, 0.370], [0.207, -0.057, 4.473]], "species": ["La", "La", "La", "La", "La", "La", "Re", "Re"], "frac_coords": [[0.622, 0.811, 0.750], [0.189, 0.378, 0.750], [0.378, 0.189, 0.250], [0.811, 0.189, 0.250], [0.189, 0.811, 0.750], [0.811, 0.622, 0.250], [0.667, 0.333, 0.750], [0.333, 0.667, 0.250]], "dos_at_fermi_per_ev_atom": 0.958, "ef_ev_per_atom": 0.290, "density_g_cm3": 8.5}

***

No. 10
{"formula": "LaRe3", "functional": "PBE", "state": "relaxed", "lattice_angstrom": [[-0.648, -4.441, -1.599], [3.854, 0.434, -2.768], [1.826, -1.119, 2.367]], "species": ["Re", "Re", "Re", "La"], "frac_coords": [[0.500, 0.000, 0.500], [0.500, 0.500, 0.000], [0.000, 0.500, 0.500], [0.000, 0.000, 0.000]], "dos_at_fermi_per_ev_atom": 1.396, "relative_energy_ev_per_atom": 0.4401, "ef_ev_per_atom": 0.817, "density_g_cm3": 16.0}

***

No. 11
{"formula": "La4Re", "functional": "PBE", "state": "relaxed", "lattice_angstrom": [[-1.778, 1.778, 12.568], [1.778, -1.778, 12.568], [1.778, 1.778, -12.568]], "species": ["La", "La", "La", "La", "Re"], "frac_coords": [[0.930, 0.930, 0.000], [0.301, 0.301, 0.000], [0.070, 0.070, 0.000], [0.699, 0.699, 0.000], [0.500, 0.500, 0.000]], "dos_at_fermi_per_ev_atom": 1.507, "relative_energy_ev_per_atom": 0.0622, "ef_ev_per_atom": 0.188, "density_g_cm3": 7.7}

***

No. 12
{"formula": "La5Re", "functional": "PBE", "state": "relaxed", "lattice_angstrom": [[-0.082, -5.498, 3.094], [-4.804, -4.009, -0.817], [0.896, -5.400, -3.139]], "species": ["La", "La", "La", "La", "La", "Re"], "frac_coords": [[0.627, 0.627, 0.627], [0.627, 0.119, 0.627], [0.250, 0.250, 0.250], [0.627, 0.627, 0.119], [0.119, 0.627, 0.627], [0.000, 0.000, 0.000]], "dos_at_fermi_per_ev_atom": 1.578, "relative_energy_ev_per_atom": 0.6745, "ef_ev_per_atom": 0.808, "density_g_cm3": 8.2}